A geometry-optimized Fe3RhC structure, computed with GGA-PBE.

Output
**Raw total energy**: -41.35 eV/cell
**D(E_F)**: 1.027 states/eV/atom
**Energy of formation**: 0.1225 eV/atom
**Polymorph energy (0 for the lowest one)**: 0 meV per atom
**Symmetry**: Pm-3m, No. 221

Lattice parameters (Å, degrees): 3.834 3.834 3.834 90.00 90.00 90.00
Fractional positions:
Fe (0.000, 0.000, 0.500)
Fe (0.000, 0.500, 0.000)
Fe (0.500, 0.000, 0.000)
Rh (0.500, 0.500, 0.500)
C (0.000, 0.000, 0.000)

A geometry-optimized LiW2Se structure, computed with GGA-PBE.

Output
**Raw total energy**: -28.88 eV/cell
**D(E_F)**: 0.518 states/eV/atom
**Symmetry**: R-3m, No. 166

Lattice parameters (Å, degrees): 9.015 9.015 9.015 18.70 18.70 18.70
Fractional positions:
Li (0.000, 0.000, 0.000)
W (0.242, 0.242, 0.242)
W (0.758, 0.758, 0.758)
Se (0.500, 0.500, 0.500)

A geometry-optimized TiRuS2N structure, computed with GGA-PBE.

Output
**Raw total energy**: -31.50 eV/cell
**D(E_F)**: 1.118 states/eV/atom
**Polymorph energy (0 for the lowest one)**: 210 meV per atom
**Symmetry**: P4/mmm, No. 123

Lattice parameters (Å, degrees): 4.764 4.764 3.742 90.00 90.00 90.00
Fractional positions:
Ti (0.000, 0.000, 0.000)
Ru (0.500, 0.500, 0.500)
S (0.000, 0.500, 0.000)
S (0.500, 0.000, 0.000)
N (0.000, 0.000, 0.500)

A geometry-optimized Ba8InPt2Rh structure, computed with GGA-PBE.

Output
**Raw total energy**: -42.30 eV/cell
**D(E_F)**: 0.605 states/eV/atom
**Energy of formation**: -0.3953 eV/atom
**Symmetry**: P2/m, No. 10

Lattice parameters (Å, degrees): 7.531 9.775 7.685 90.00 91.36 90.00
Fractional positions:
Ba (0.208, 0.000, 0.346)
Ba (0.228, 0.500, 0.321)
Ba (0.272, 0.277, 0.822)
Ba (0.272, 0.723, 0.822)
Ba (0.728, 0.277, 0.178)
Ba (0.728, 0.723, 0.178)
Ba (0.772, 0.500, 0.679)
Ba (0.792, 0.000, 0.654)
In (0.500, 0.000, 0.000)
Pt (0.000, 0.256, 0.500)
Pt (0.000, 0.744, 0.500)
Rh (0.500, 0.500, 0.000)

A geometry-optimized Mo3P structure, computed with GGA-PBE.

Output
**Raw total energy**: -38.00 eV/cell
**D(E_F)**: 1.104 states/eV/atom
**Energy of formation**: -0.0237 eV/atom
**Polymorph energy (0 for the lowest one)**: 338 meV per atom
**Symmetry**: P4/mmm, No. 123

Lattice parameters (Å, degrees): 3.164 3.164 5.929 90.00 90.00 90.00
Fractional positions:
Mo (0.000, 0.000, 0.000)
Mo (0.500, 0.500, 0.265)
Mo (0.500, 0.500, 0.735)
P (0.000, 0.000, 0.500)

A geometry-optimized Cd3In8Pb2 structure, computed with GGA-PBE.

Output
**Raw total energy**: -30.99 eV/cell
**D(E_F)**: 0.343 states/eV/atom
**Energy of formation**: 0.0833 eV/atom
**Symmetry**: Cmmm, No. 65

Lattice parameters (Å, degrees): 9.885 9.885 4.889 90.00 90.00 127.59
Fractional positions:
Cd (0.000, 0.000, 0.000)
Cd (0.310, 0.310, 0.500)
Cd (0.690, 0.690, 0.500)
In (0.109, 0.891, 0.500)
In (0.170, 0.391, 0.000)
In (0.349, 0.651, 0.500)
In (0.391, 0.170, 0.000)
In (0.609, 0.830, 0.000)
In (0.651, 0.349, 0.500)
In (0.830, 0.609, 0.000)
In (0.891, 0.109, 0.500)
Pb (0.232, 0.768, 0.000)
Pb (0.768, 0.232, 0.000)

A geometry-optimized Mn5As structure, computed with GGA-PBE.

Output
**Raw total energy**: -50.69 eV/cell
**D(E_F)**: 0.745 states/eV/atom
**Energy of formation**: -0.0325 eV/atom
**Polymorph energy (0 for the lowest one)**: 16 meV per atom
**Symmetry**: C2/m, No. 12

Lattice parameters (Å, degrees): 4.445 4.445 5.205 107.08 107.08 47.13
Fractional positions:
Mn (0.000, 0.000, 0.000)
Mn (0.329, 0.329, 0.156)
Mn (0.333, 0.333, 0.673)
Mn (0.667, 0.667, 0.327)
Mn (0.671, 0.671, 0.844)
As (0.000, 0.000, 0.500)

A geometry-optimized Cu2Ge2Bi structure, computed with GGA-PBE.

Output
**Raw total energy**: -20.54 eV/cell
**D(E_F)**: 0.224 states/eV/atom
**Energy of formation**: 0.1545 eV/atom
**Polymorph energy (0 for the lowest one)**: 0 meV per atom
**Symmetry**: I4/mmm, No. 139

Lattice parameters (Å, degrees): 6.485 6.485 6.485 144.33 144.33 51.34
Fractional positions:
Cu (0.107, 0.107, 0.000)
Cu (0.893, 0.893, 0.000)
Ge (0.250, 0.750, 0.500)
Ge (0.750, 0.250, 0.500)
Bi (0.500, 0.500, 0.000)

A geometry-optimized CdNi2Te structure, computed with GGA-PBE.

Output
**Raw total energy**: -14.94 eV/cell
**D(E_F)**: 0.789 states/eV/atom
**Polymorph energy (0 for the lowest one)**: 122 meV per atom
**Symmetry**: Fm-3m, No. 225

Lattice parameters (Å, degrees): 4.523 4.523 4.523 60.00 60.00 60.00
Fractional positions:
Cd (0.000, 0.000, 0.000)
Ni (0.250, 0.250, 0.250)
Ni (0.750, 0.750, 0.750)
Te (0.500, 0.500, 0.500)

A geometry-optimized NaTlBi2 structure, computed with GGA-PBE.

Output
**Raw total energy**: -11.44 eV/cell
**D(E_F)**: 1.108 states/eV/atom
**Energy of formation**: 0.0028 eV/atom
**Polymorph energy (0 for the lowest one)**: 165 meV per atom
**Symmetry**: Fm-3m, No. 225

Lattice parameters (Å, degrees): 5.569 5.569 5.569 60.00 60.00 60.00
Fractional positions:
Na (0.000, 0.000, 0.000)
Tl (0.500, 0.500, 0.500)
Bi (0.250, 0.250, 0.250)
Bi (0.750, 0.750, 0.750)

A geometry-optimized BeZnMo2Se structure, computed with GGA-PBE.

Output
**Raw total energy**: -25.32 eV/cell
**D(E_F)**: 1.049 states/eV/atom
**Symmetry**: P4/mmm, No. 123

Lattice parameters (Å, degrees): 4.375 4.375 4.171 90.00 90.00 90.00
Fractional positions:
Be (0.000, 0.000, 0.000)
Zn (0.500, 0.500, 0.500)
Mo (0.000, 0.500, 0.000)
Mo (0.500, 0.000, 0.000)
Se (0.000, 0.000, 0.500)

A geometry-optimized DyYZn3 structure, computed with GGA-PBE.

Output
**Raw total energy**: -33.26 eV/cell
**D(E_F)**: 0.909 states/eV/atom
**Energy of formation**: -0.3486 eV/atom
**Symmetry**: Cmcm, No. 63

Lattice parameters (Å, degrees): 13.551 13.551 4.466 90.00 90.00 164.74
Fractional positions:
Dy (0.209, 0.791, 0.750)
Dy (0.791, 0.209, 0.250)
Y (0.072, 0.928, 0.250)
Y (0.928, 0.072, 0.750)
Zn (0.329, 0.671, 0.750)
Zn (0.382, 0.618, 0.250)
Zn (0.477, 0.523, 0.250)
Zn (0.523, 0.477, 0.750)
Zn (0.618, 0.382, 0.750)
Zn (0.671, 0.329, 0.250)

A geometry-optimized SmAgSnRh structure, computed with GGA-PBE.

Output
**Raw total energy**: -20.84 eV/cell
**D(E_F)**: 0.827 states/eV/atom
**Energy of formation**: -0.4778 eV/atom
**Symmetry**: F-43m, No. 216

Lattice parameters (Å, degrees): 4.889 4.889 4.889 60.00 60.00 60.00
Fractional positions:
Sm (0.000, 0.000, 0.000)
Ag (0.250, 0.250, 0.250)
Sn (0.500, 0.500, 0.500)
Rh (0.750, 0.750, 0.750)